! CaScMn (SCAN, single point on PBEsol structure); values from VASP
! formation enthalpy at 0 K: 7.1 kJ per mole of atoms
! symmetry: No. 107
! VASP energy: -13.979 eV/atom
&SYSTEM
  ibrav = 0, nat = 3, ntyp = 3
/
ATOMIC_SPECIES
Sc 44.96 Sc.upf
Ca 40.08 Ca.upf
Mn 54.94 Mn.upf
CELL_PARAMETERS angstrom
-1.717 2.396 1.528
-0.662 -2.074 2.507
6.450 1.727 0.933
ATOMIC_POSITIONS crystal
Sc 0.298 0.298 0.595
Ca 0.020 0.020 0.040
Mn 0.683 0.683 0.365


! Ca2AgBPd (SCAN, single point on PBEsol structure); values from VASP
! formation enthalpy at 0 K: 91.4 kJ per mole of atoms
! symmetry: No. 123
! VASP energy: -17.232 eV/atom
&SYSTEM
  ibrav = 0, nat = 5, ntyp = 4
/
ATOMIC_SPECIES
Ca 40.08 Ca.upf
B 10.81 B.upf
Pd 106.42 Pd.upf
Ag 107.87 Ag.upf
CELL_PARAMETERS angstrom
4.825 0.000 0.000
0.000 5.392 0.000
0.000 0.000 5.392
ATOMIC_POSITIONS crystal
Ca 0.000 0.000 0.500
Ca 0.000 0.500 0.000
B 0.500 0.500 0.500
Pd 0.500 0.000 0.000
Ag 0.000 0.000 0.000


! Y2OsPt (SCAN, single point on PBEsol structure); values from VASP
! formation enthalpy at 0 K: -47.9 kJ per mole of atoms
! symmetry: No. 119
! VASP energy: -49.936 eV/atom
&SYSTEM
  ibrav = 0, nat = 4, ntyp = 3
/
ATOMIC_SPECIES
Os 190.23 Os.upf
Pt 195.08 Pt.upf
Y 88.91 Y.upf
CELL_PARAMETERS angstrom
-0.841 -0.008 -3.950
-3.913 -0.553 0.834
1.731 5.043 1.686
ATOMIC_POSITIONS crystal
Os 0.500 0.500 0.000
Pt 0.250 0.750 0.500
Y 0.000 0.000 0.000
Y 0.750 0.250 0.500